1.
The following is a PBE-GGA calculation of an optimized crystal structure of Hf4SbAsC2, from the Open Quantum Materials Database.

The space group is P-6m2 (No. 187) and the conventional cell measures 3.4082, 3.4082 and 13.2644 Å, with angles of 90.00, 90.00 and 120.00 degrees. The distinct sites, in fractional coordinates, are Hf at (0.0000, 0.0000, 0.1444), Hf at (0.6667, 0.3333, 0.3275), Sb at (0.0000, 0.0000, 0.5000), As at (0.6667, 0.3333, 0.0000) and C at (0.3333, 0.6667, 0.2371).

The calculation puts the total energy at -74.0 eV for the cell shown.

***

2.
The following is a PBE-GGA calculation of an optimized crystal structure of HoAgPd, from the Open Quantum Materials Database.

The space group is F-43m (No. 216) and the conventional cell measures 6.509, 6.509 and 6.509 Å, with angles of 90.00, 90.00 and 90.00 degrees. The distinct sites, in fractional coordinates, are Ho at (0.000, 0.000, 0.000), Ag at (0.000, 0.000, 0.500) and Pd at (0.250, 0.250, 0.750).

The energy above the most stable polymorph in this dataset comes out at 0 meV per atom. The calculated formation energy is -1.46 eV per formula unit.

***

3.
The following is a PBE-GGA calculation of an optimized crystal structure of PmSbN2O, from the Open Quantum Materials Database.

The space group is P6_3/mmc (No. 194) and the conventional cell measures 5.7505, 5.7505 and 14.1379 Å, with angles of 90.00, 90.00 and 120.00 degrees. The distinct sites, in fractional coordinates, are Pm at (0.0000, 0.0000, 0.2500), Pm at (0.3333, 0.6667, 0.1134), Sb at (0.0000, 0.0000, 0.0000), Sb at (0.3333, 0.6667, 0.6445), N at (0.1526, 0.3051, 0.5952) and O at (0.0056, 0.5028, 0.7500).

The calculation puts the total energy at -202.3 eV for the cell shown.

***

4.
The following is a PBE-GGA calculation of an optimized crystal structure of PrNdCu2Bi4, from the Open Quantum Materials Database.

The space group is P4mm (No. 99) and the conventional cell measures 4.580, 4.580 and 9.939 Å, with angles of 90.00, 90.00 and 90.00 degrees. The distinct sites, in fractional coordinates, are Pr at (0.000, 0.000, 0.000), Nd at (0.500, 0.500, 0.475), Cu at (0.000, 0.500, 0.239), Bi at (0.000, 0.000, 0.397), Bi at (0.000, 0.500, 0.736) and Bi at (0.500, 0.500, 0.080).

The calculation puts the total energy at -37.1 eV for the cell shown.

***

5.
The following is a PBE-GGA calculation of an optimized crystal structure of CsNd2Cu3TeSe4, from the Open Quantum Materials Database.

The space group is Cmcm (No. 63) and the conventional cell measures 4.270, 14.801 and 18.336 Å, with angles of 90.00, 90.00 and 90.00 degrees. The distinct sites, in fractional coordinates, are Cs at (0.000, 0.050, 0.250), Nd at (0.000, 0.189, 0.585), Cu at (0.000, 0.343, 0.250), Cu at (0.000, 0.414, 0.529), Te at (0.000, 0.244, 0.750), Se at (0.000, 0.164, 0.071) and Se at (0.000, 0.443, 0.107).

The calculation puts the total energy at -200.4 eV for the cell shown.

***

6.
The following is a PBE-GGA calculation of an optimized crystal structure of Li4Sm2O5, from the Open Quantum Materials Database.

The space group is Cmmm (No. 65) and the conventional cell measures 4.624, 13.792 and 4.591 Å, with angles of 90.00, 90.00 and 90.00 degrees. The distinct sites, in fractional coordinates, are Li at (0.000, 0.000, 0.000), Li at (0.000, 0.188, 0.500), Li at (0.000, 0.500, 0.500), Sm at (0.000, 0.341, 0.000), O at (0.000, 0.161, 0.000), O at (0.000, 0.340, 0.500) and O at (0.000, 0.500, 0.000).

The calculation puts the total energy at -137.4 eV for the cell shown.

***

7.
The following is a PBE-GGA calculation of an optimized crystal structure of AcReOs, from the Open Quantum Materials Database.

The space group is F-43m (No. 216) and the conventional cell measures 6.464, 6.464 and 6.464 Å, with angles of 90.00, 90.00 and 90.00 degrees. The distinct sites, in fractional coordinates, are Ac at (0.000, 0.000, 0.000), Re at (0.250, 0.250, 0.250) and Os at (0.250, 0.250, 0.750).

The energy above the most stable polymorph in this dataset comes out at 1000 meV per atom. The calculated formation energy is 6.23 eV per formula unit.

***

8.
The following is a PBE-GGA calculation of an optimized crystal structure of YHfSc2, from the Open Quantum Materials Database.

The space group is F-43m (No. 216) and the conventional cell measures 7.361, 7.361 and 7.361 Å, with angles of 90.00, 90.00 and 90.00 degrees. The distinct sites, in fractional coordinates, are Y at (0.000, 0.000, 0.000), Hf at (0.250, 0.250, 0.250), Sc at (0.000, 0.000, 0.500) and Sc at (0.250, 0.250, 0.750).

The calculated formation energy is 0.98 eV per formula unit.

***

9.
The following is a PBE-GGA calculation of an optimized crystal structure of TbNbBi, from the Open Quantum Materials Database.

The space group is F-43m (No. 216) and the conventional cell measures 6.943, 6.943 and 6.943 Å, with angles of 90.00, 90.00 and 90.00 degrees. The distinct sites, in fractional coordinates, are Tb at (0.000, 0.000, 0.000), Nb at (0.000, 0.000, 0.500) and Bi at (0.250, 0.250, 0.750).

The energy above the most stable polymorph in this dataset comes out at 0 meV per atom.

***

10.
The following is a PBE-GGA calculation of an optimized crystal structure of LaNdPt4, from the Open Quantum Materials Database.

The space group is F-43m (No. 216) and the conventional cell measures 7.814, 7.814 and 7.814 Å, with angles of 90.00, 90.00 and 90.00 degrees. The distinct sites, in fractional coordinates, are La at (0.000, 0.000, 0.000), Nd at (0.250, 0.250, 0.250) and Pt at (0.125, 0.125, 0.625).

The calculated formation energy is -6.38 eV per formula unit.

***

11.
The following is a PBE-GGA calculation of an optimized crystal structure of SmMo3S6, from the Open Quantum Materials Database.

The space group is P2_1/m (No. 11) and the conventional cell measures 10.053, 3.663 and 10.498 Å, with angles of 90.00, 107.02 and 90.00 degrees. The distinct sites, in fractional coordinates, are Sm at (0.053, 0.250, 0.211), Mo at (0.165, 0.250, 0.586), Mo at (0.316, 0.750, 0.985), Mo at (0.436, 0.250, 0.334), S at (0.086, 0.750, 0.420), S at (0.134, 0.250, 0.967), S at (0.214, 0.750, 0.745), S at (0.276, 0.750, 0.217), S at (0.399, 0.250, 0.562) and S at (0.477, 0.250, 0.105).

The calculation puts the total energy at -138.2 eV for the cell shown.

***

12.
The following is a PBE-GGA calculation of an optimized crystal structure of ZnAs2, from the Open Quantum Materials Database.

The space group is Fd-3m (No. 227, origin choice 2) and the conventional cell measures 7.872, 7.872 and 7.872 Å, with angles of 90.00, 90.00 and 90.00 degrees. The distinct sites, in fractional coordinates, are Zn at (0.125, 0.125, 0.125) and As at (0.000, 0.000, 0.500).

The calculation puts the total energy at -74.2 eV for the cell shown.